Material: Ho2Zn3Cu12Pd
Method: DFT, PBE
State: optimized geometry

Lattice parameters (Å, degrees): 9.6504 9.6504 9.6504 37.15 37.15 37.15
With the nearest neighbours (Å) after each atom.
Atoms (fractional coordinates):
Ho 0.1432 0.1432 0.1432  6 Cu 2.90-2.93
Ho 0.8568 0.8568 0.8568  6 Cu 2.90-2.93
Zn 0.0000 0.5000 0.5000  4 Cu 2.37
Zn 0.5000 0.0000 0.5000  4 Cu 2.37
Zn 0.5000 0.5000 0.0000  4 Cu 2.37
Cu 0.0793 0.6131 0.6131  2 Cu 2.46, 1 Pd 2.58, 1 Zn 2.74
Cu 0.0816 0.0816 0.6955  2 Zn 2.37, 4 Cu 2.37-2.46
Cu 0.0816 0.6955 0.0816  2 Zn 2.37, 4 Cu 2.37-2.46
Cu 0.3045 0.9184 0.9184  2 Zn 2.37, 4 Cu 2.37-2.46
Cu 0.3869 0.3869 0.9207  2 Cu 2.46, 1 Pd 2.58, 1 Zn 2.74
Cu 0.3869 0.9207 0.3869  2 Cu 2.46, 1 Pd 2.58, 1 Zn 2.74
Cu 0.6131 0.0793 0.6131  2 Cu 2.46, 1 Pd 2.58, 1 Zn 2.74
Cu 0.6131 0.6131 0.0793  2 Cu 2.46, 1 Pd 2.58, 1 Zn 2.74
Cu 0.6955 0.0816 0.0816  2 Zn 2.37, 4 Cu 2.37-2.46
Cu 0.9184 0.3045 0.9184  2 Zn 2.37, 4 Cu 2.37-2.46
Cu 0.9184 0.9184 0.3045  2 Zn 2.37, 4 Cu 2.37-2.46
Cu 0.9207 0.3869 0.3869  2 Cu 2.46, 1 Pd 2.58, 1 Zn 2.74
Pd 0.5000 0.5000 0.5000  6 Cu 2.58

Calculated values
Electronic total energy, eV per atom: -3.640
Space group: R-3m (166)
Formation energy, meV per atom: 100
D(E_F), states/eV/f.u.: 6.77
Calculated density, g/cm³: 7.884